# 1
Material: TbY3Fe
Method: DFT, GGA-PBE
State: optimized geometry

a = 5.2909 Å, b = 5.2909 Å, c = 5.2909 Å
α = 90.00°, β = 90.00°, γ = 90.00°
Sites, in units of the cell vectors:
Y (0.0000, 0.5000, 0.0000)
Y (0.0000, 0.0000, 0.5000)
Y (0.5000, 0.0000, 0.0000)
Tb (0.5000, 0.5000, 0.5000)
Fe (0.0000, 0.0000, 0.0000)

Summary:
symmetry: No. 221
crystal system: cubic
total magnetization: 0.00 μB per formula unit

# 2
Material: Tb2YFe9
Method: DFT, GGA-PBE
State: optimized geometry

a = 5.1050 Å, b = 5.1050 Å, c = 8.6288 Å
α = 72.79°, β = 72.79°, γ = 60.00°
Sites, in units of the cell vectors:
Tb (0.8581, 0.8581, 0.4257)
Tb (0.1419, 0.1419, 0.5743)
Y (0.0000, 0.0000, 0.0000)
Fe (0.6672, 0.6672, 0.9985)
Fe (0.3328, 0.3328, 0.0015)
Fe (0.5000, 0.5000, 0.5000)
Fe (0.4194, 0.4194, 0.2432)
Fe (0.9179, 0.4194, 0.2432)
Fe (0.4194, 0.9179, 0.2432)
Fe (0.5806, 0.5806, 0.7568)
Fe (0.5806, 0.0821, 0.7568)
Fe (0.0821, 0.5806, 0.7568)

Summary:
symmetry: No. 166
crystal system: trigonal
total magnetization: 17.51 μB per formula unit

# 3
Material: Tb2YFe
Method: DFT, GGA-PBE
State: optimized geometry

a = 3.3663 Å, b = 3.3663 Å, c = 9.0915 Å
α = 90.00°, β = 90.00°, γ = 90.00°
Sites, in units of the cell vectors:
Y (0.5000, 0.5000, 0.5000)
Tb (0.0000, 0.0000, 0.8217)
Tb (0.0000, 0.0000, 0.1783)
Fe (0.5000, 0.5000, 0.0000)

Summary:
symmetry: No. 123
crystal system: tetragonal
total magnetization: 0.11 μB per formula unit

# 4
Material: Tb2YFe
Method: DFT, GGA-PBE
State: optimized geometry

a = 6.2699 Å, b = 7.0970 Å, c = 9.2325 Å
α = 90.00°, β = 90.00°, γ = 90.00°
Sites, in units of the cell vectors:
Tb (0.1715, 0.6740, 0.0673)
Tb (0.3285, 0.1740, 0.4327)
Tb (0.8285, 0.3260, 0.5673)
Tb (0.6715, 0.8260, 0.9327)
Tb (0.8285, 0.3260, 0.9327)
Tb (0.6715, 0.8260, 0.5673)
Tb (0.1715, 0.6740, 0.4327)
Tb (0.3285, 0.1740, 0.0673)
Y (0.6381, 0.5484, 0.2500)
Y (0.8619, 0.0484, 0.2500)
Y (0.3619, 0.4516, 0.7500)
Y (0.1381, 0.9516, 0.7500)
Fe (0.0409, 0.3910, 0.2500)
Fe (0.4591, 0.8910, 0.2500)
Fe (0.9591, 0.6090, 0.7500)
Fe (0.5409, 0.1090, 0.7500)

Summary:
symmetry: No. 62
crystal system: orthorhombic
total magnetization: 0.00 μB per formula unit

# 5
Material: TbZn9Fe3
Method: DFT, GGA-PBE
State: optimized geometry

a = 5.0394 Å, b = 6.7675 Å, c = 6.6853 Å
α = 81.54°, β = 67.86°, γ = 67.02°
Sites, in units of the cell vectors:
Tb (0.0000, 0.0000, 0.0000)
Zn (0.7230, 0.7769, 0.7737)
Zn (0.2770, 0.2231, 0.2263)
Zn (0.5033, 0.2231, 0.7737)
Zn (0.4967, 0.7769, 0.2263)
Zn (0.6373, 0.3385, 0.3473)
Zn (0.3627, 0.6615, 0.6527)
Zn (0.0154, 0.6615, 0.3473)
Zn (0.9846, 0.3385, 0.6527)
Zn (0.0000, 0.5000, 0.0000)
Fe (0.5000, 0.5000, 0.0000)
Fe (0.0000, 0.0000, 0.5000)
Fe (0.5000, 0.0000, 0.5000)

Summary:
symmetry: No. 12
crystal system: monoclinic
total magnetization: 5.49 μB per formula unit

# 6
Material: Tb8Zn2Fe
Method: DFT, GGA-PBE
State: optimized geometry

a = 5.1951 Å, b = 6.7307 Å, c = 9.0154 Å
α = 106.45°, β = 106.75°, γ = 90.00°
Sites, in units of the cell vectors:
Tb (0.4103, 0.5710, 0.8206)
Tb (0.6555, 0.9619, 0.3110)
Tb (0.8009, 0.6952, 0.6019)
Tb (0.9744, 0.2107, 0.9487)
Tb (0.1991, 0.3048, 0.3981)
Tb (0.3445, 0.0381, 0.6890)
Tb (0.5897, 0.4290, 0.1794)
Tb (0.0256, 0.7893, 0.0513)
Zn (0.8138, 0.2804, 0.6276)
Zn (0.1862, 0.7196, 0.3724)
Fe (0.5000, 0.0000, 0.0000)

Summary:
symmetry: No. 12
crystal system: monoclinic
total magnetization: 0.00 μB per formula unit

# 7
Material: Tb2ZnFe
Method: DFT, GGA-PBE
State: optimized geometry

a = 3.4522 Å, b = 3.4522 Å, c = 7.1721 Å
α = 90.00°, β = 90.00°, γ = 90.00°
Sites, in units of the cell vectors:
Zn (0.5000, 0.5000, 0.5000)
Tb (0.0000, 0.0000, 0.7717)
Tb (0.0000, 0.0000, 0.2283)
Fe (0.5000, 0.5000, 0.0000)

Summary:
symmetry: No. 123
crystal system: tetragonal
total magnetization: 1.18 μB per formula unit

# 8
Material: TbZn20Fe2
Method: DFT, GGA-PBE
State: optimized geometry

a = 9.9290 Å, b = 9.9290 Å, c = 9.9290 Å
α = 60.00°, β = 60.00°, γ = 60.00°
Sites, in units of the cell vectors:
Tb (0.7500, 0.7500, 0.7500)
Tb (0.5000, 0.5000, 0.5000)
Zn (0.6250, 0.6250, 0.6250)
Zn (0.1250, 0.6250, 0.6250)
Zn (0.2983, 0.5691, 0.8343)
Zn (0.9517, 0.9517, 0.6809)
Zn (0.6809, 0.4157, 0.9517)
Zn (0.9517, 0.4157, 0.9517)
Zn (0.4157, 0.9517, 0.6809)
Zn (0.4157, 0.9517, 0.9517)
Zn (0.6809, 0.9517, 0.9517)
Zn (0.8343, 0.5691, 0.2983)
Zn (0.2983, 0.5691, 0.2983)
Zn (0.5691, 0.2983, 0.8343)
Zn (0.2983, 0.2983, 0.8343)
Zn (0.5691, 0.8343, 0.2983)
Zn (0.8343, 0.2983, 0.5691)
Zn (0.2983, 0.2983, 0.5691)
Zn (0.2983, 0.8343, 0.2983)
Zn (0.6809, 0.9517, 0.4157)
Zn (0.9517, 0.9517, 0.4157)
Zn (0.9517, 0.4157, 0.6809)
Zn (0.9517, 0.6809, 0.4157)
Zn (0.4157, 0.6809, 0.9517)
Zn (0.9517, 0.6809, 0.9517)
Zn (0.8343, 0.2983, 0.2983)
Zn (0.5691, 0.2983, 0.2983)
Zn (0.2983, 0.8343, 0.5691)
Zn (0.8642, 0.8642, 0.1358)
Zn (0.1142, 0.3858, 0.3858)
Zn (0.3858, 0.1142, 0.1142)
Zn (0.1142, 0.1142, 0.3858)
Zn (0.1142, 0.3858, 0.1142)
Zn (0.3858, 0.1142, 0.3858)
Zn (0.1358, 0.8642, 0.1358)
Zn (0.1358, 0.8642, 0.8642)
Zn (0.8642, 0.1358, 0.1358)
Zn (0.8642, 0.1358, 0.8642)
Zn (0.3858, 0.3858, 0.1142)
Zn (0.1358, 0.1358, 0.8642)
Zn (0.6250, 0.1250, 0.6250)
Zn (0.6250, 0.6250, 0.1250)
Fe (0.1250, 0.6250, 0.1250)
Fe (0.1250, 0.1250, 0.1250)
Fe (0.6250, 0.1250, 0.1250)
Fe (0.1250, 0.1250, 0.6250)

Summary:
symmetry: No. 227
crystal system: cubic
total magnetization: 0.01 μB per formula unit

# 9
Material: Tb8Zn2Fe
Method: DFT, GGA-PBE
State: optimized geometry

a = 4.9472 Å, b = 8.3563 Å, c = 8.5468 Å
α = 119.27°, β = 106.82°, γ = 90.00°
Sites, in units of the cell vectors:
Zn (0.1968, 0.6968, 0.3935)
Zn (0.8032, 0.3032, 0.6065)
Tb (0.6582, 0.8813, 0.3164)
Tb (0.3417, 0.5649, 0.6835)
Tb (0.1250, 0.1250, 0.2501)
Tb (0.0000, 0.3265, 0.0001)
Tb (0.8750, 0.8750, 0.7499)
Tb (0.6582, 0.4351, 0.3165)
Tb (0.3418, 0.1187, 0.6836)
Tb (0.0000, 0.6735, 0.9999)
Fe (0.5000, 0.0000, 0.0000)

Summary:
symmetry: No. 71
crystal system: orthorhombic
total magnetization: 0.84 μB per formula unit

# 10
Material: Tb4ZnFe
Method: DFT, GGA-PBE
State: optimized geometry

a = 6.1096 Å, b = 7.4591 Å, c = 7.4591 Å
α = 111.31°, β = 98.55°, γ = 98.55°
Sites, in units of the cell vectors:
Tb (0.9096, 0.6274, 0.7903)
Tb (0.0367, 0.9389, 0.2707)
Tb (0.5904, 0.2097, 0.3726)
Tb (0.4633, 0.7293, 0.0611)
Tb (0.5367, 0.2707, 0.9389)
Tb (0.4096, 0.7903, 0.6274)
Tb (0.9633, 0.0611, 0.7293)
Tb (0.0904, 0.3726, 0.2097)
Zn (0.7500, 0.6278, 0.3722)
Zn (0.2500, 0.3722, 0.6278)
Fe (0.2500, 0.9977, 0.0023)
Fe (0.7500, 0.0023, 0.9977)

Summary:
symmetry: No. 15
crystal system: monoclinic
total magnetization: 0.00 μB per formula unit

# 11
Material: Tb6ZnFe2
Method: DFT, GGA-PBE
State: optimized geometry

a = 8.3455 Å, b = 8.3455 Å, c = 8.3455 Å
α = 106.83°, β = 110.52°, γ = 111.10°
Sites, in units of the cell vectors:
Tb (0.5307, 0.7154, 0.8154)
Tb (0.4693, 0.2846, 0.1846)
Tb (0.1000, 0.2846, 0.8154)
Tb (0.9000, 0.7154, 0.1846)
Tb (0.7955, 0.7715, 0.5670)
Tb (0.2045, 0.2285, 0.4330)
Tb (0.2045, 0.7715, 0.9760)
Tb (0.7955, 0.2285, 0.0240)
Tb (0.7035, 0.3886, 0.6852)
Tb (0.2965, 0.6114, 0.3148)
Tb (0.2965, 0.9817, 0.6852)
Tb (0.7035, 0.0183, 0.3148)
Zn (0.0000, 0.5000, 0.5000)
Zn (0.0000, 0.0000, 0.0000)
Fe (0.5000, 0.3908, 0.8908)
Fe (0.5000, 0.6092, 0.1092)
Fe (0.6179, 0.0000, 0.6179)
Fe (0.3821, 0.0000, 0.3821)

Summary:
symmetry: No. 71
crystal system: orthorhombic
total magnetization: 1.88 μB per formula unit

# 12
Material: Tb2ZnFe
Method: DFT, GGA-PBE
State: optimized geometry

a = 3.6188 Å, b = 3.6188 Å, c = 9.8567 Å
α = 79.42°, β = 79.42°, γ = 60.00°
Sites, in units of the cell vectors:
Zn (0.0000, 0.0000, 0.0000)
Tb (0.1091, 0.1091, 0.6728)
Tb (0.8909, 0.8909, 0.3272)
Fe (0.5000, 0.5000, 0.5000)

Summary:
symmetry: No. 166
crystal system: trigonal
total magnetization: 0.64 μB per formula unit

# 13
Material: TbZnFe
Method: DFT, GGA-PBE
State: optimized geometry

a = 3.9422 Å, b = 5.0683 Å, c = 6.2094 Å
α = 103.50°, β = 108.51°, γ = 90.00°
Sites, in units of the cell vectors:
Fe (0.7773, 0.1121, 0.5547)
Fe (0.2227, 0.8879, 0.4453)
Zn (0.5854, 0.7624, 0.1708)
Zn (0.4146, 0.2376, 0.8292)
Tb (0.8781, 0.6878, 0.7562)
Tb (0.1219, 0.3122, 0.2438)

Summary:
symmetry: No. 12
crystal system: monoclinic
total magnetization: 1.20 μB per formula unit

# 14
Material: TbZrZnFe
Method: DFT, GGA-PBE
State: optimized geometry

a = 4.7641 Å, b = 4.7641 Å, c = 4.7641 Å
α = 60.00°, β = 60.00°, γ = 60.00°
Sites, in units of the cell vectors:
Zn (0.0000, 0.0000, 0.0000)
Tb (0.7500, 0.7500, 0.7500)
Fe (0.5000, 0.5000, 0.5000)
Zr (0.2500, 0.2500, 0.2500)

Summary:
symmetry: No. 216
crystal system: cubic
total magnetization: 0.43 μB per formula unit

# 15
Material: Tb3ZrFe8
Method: DFT, GGA-PBE
State: optimized geometry

a = 5.1024 Å, b = 5.1024 Å, c = 8.8503 Å
α = 73.25°, β = 73.25°, γ = 60.00°
Sites, in units of the cell vectors:
Tb (0.3749, 0.3749, 0.8753)
Tb (0.9996, 0.9996, 0.0011)
Tb (0.5001, 0.5001, 0.4998)
Zr (0.8752, 0.8752, 0.3745)
Fe (0.9342, 0.4365, 0.1928)
Fe (0.4419, 0.9380, 0.6820)
Fe (0.4365, 0.4365, 0.1928)
Fe (0.9380, 0.9380, 0.6820)
Fe (0.1879, 0.1879, 0.4364)
Fe (0.6872, 0.6872, 0.9384)
Fe (0.4365, 0.9342, 0.1928)
Fe (0.9380, 0.4419, 0.6820)

Summary:
symmetry: No. 160
crystal system: trigonal
total magnetization: 13.26 μB per formula unit

# 16
Material: TbZr2Fe
Method: DFT, GGA-PBE
State: optimized geometry

a = 3.2783 Å, b = 3.2783 Å, c = 10.1334 Å
α = 80.69°, β = 80.69°, γ = 60.00°
Sites, in units of the cell vectors:
Tb (0.0000, 0.0000, 0.0000)
Fe (0.5000, 0.5000, 0.5000)
Zr (0.1085, 0.1085, 0.6744)
Zr (0.8915, 0.8915, 0.3256)

Summary:
symmetry: No. 166
crystal system: trigonal
total magnetization: 0.17 μB per formula unit

# 17
Material: TbZrFe4
Method: DFT, GGA-PBE
State: optimized geometry

a = 5.0647 Å, b = 5.0647 Å, c = 5.0647 Å
α = 60.00°, β = 60.00°, γ = 60.00°
Sites, in units of the cell vectors:
Tb (0.0000, 0.0000, 0.0000)
Fe (0.6248, 0.6248, 0.1258)
Fe (0.6248, 0.1258, 0.6248)
Fe (0.6248, 0.6248, 0.6248)
Fe (0.1258, 0.6248, 0.6248)
Zr (0.2500, 0.2500, 0.2500)

Summary:
symmetry: No. 216
crystal system: cubic
total magnetization: 6.41 μB per formula unit

# 18
Material: TbZrFe
Method: DFT, GGA-PBE
State: optimized geometry

a = 6.2472 Å, b = 7.1016 Å, c = 6.5213 Å
α = 90.00°, β = 90.00°, γ = 116.09°
Sites, in units of the cell vectors:
Fe (0.6040, 0.2080, 0.5344)
Fe (0.8960, 0.7920, 0.0344)
Fe (0.3960, 0.7920, 0.4656)
Fe (0.1040, 0.2080, 0.9656)
Zr (0.2774, 0.0549, 0.2500)
Zr (0.2226, 0.9451, 0.7500)
Zr (0.7226, 0.9451, 0.7500)
Zr (0.7774, 0.0549, 0.2500)
Tb (0.8042, 0.6084, 0.3961)
Tb (0.6958, 0.3916, 0.8961)
Tb (0.1958, 0.3916, 0.6039)
Tb (0.3042, 0.6084, 0.1039)

Summary:
symmetry: No. 64
crystal system: orthorhombic
total magnetization: 0.00 μB per formula unit

# 19
Material: TbZrFe
Method: DFT, GGA-PBE
State: optimized geometry

a = 3.2918 Å, b = 3.2918 Å, c = 6.3981 Å
α = 104.91°, β = 104.91°, γ = 90.00°
Sites, in units of the cell vectors:
Tb (0.0259, 0.0259, 0.0519)
Fe (0.6823, 0.6823, 0.3646)
Zr (0.2917, 0.2917, 0.5835)

Summary:
symmetry: No. 107
crystal system: tetragonal
total magnetization: 0.99 μB per formula unit

# 20
Material: TbZr2Fe
Method: DFT, GGA-PBE
State: optimized geometry

a = 3.2589 Å, b = 3.2589 Å, c = 8.1489 Å
α = 90.00°, β = 90.00°, γ = 90.00°
Sites, in units of the cell vectors:
Tb (0.5000, 0.5000, 0.5000)
Fe (0.5000, 0.5000, 0.0000)
Zr (0.0000, 0.0000, 0.8137)
Zr (0.0000, 0.0000, 0.1863)

Summary:
symmetry: No. 123
crystal system: tetragonal
total magnetization: 0.46 μB per formula unit

# 21
Material: Fe3Tc
Method: DFT, GGA-PBE
State: optimized geometry

a = 2.5545 Å, b = 4.0575 Å, c = 4.4662 Å
α = 90.00°, β = 90.00°, γ = 90.00°
Sites, in units of the cell vectors:
Tc (0.0000, 0.5000, 0.3312)
Fe (0.0000, 0.0000, 0.9873)
Fe (0.5000, 0.0000, 0.5148)
Fe (0.5000, 0.5000, 0.8333)

Summary:
symmetry: No. 25
crystal system: orthorhombic
total magnetization: 0.34 μB per formula unit

# 22
Material: Fe3Tc
Method: DFT, GGA-PBE
State: optimized geometry

a = 2.8861 Å, b = 2.8861 Å, c = 5.9171 Å
α = 90.00°, β = 90.00°, γ = 90.00°
Sites, in units of the cell vectors:
Tc (0.5000, 0.5000, 0.7500)
Fe (0.0000, 0.0000, 0.0131)
Fe (0.0000, 0.0000, 0.4869)
Fe (0.5000, 0.5000, 0.2500)

Summary:
symmetry: No. 123
crystal system: tetragonal
total magnetization: 6.96 μB per formula unit

# 23
Material: FeTc3
Method: DFT, GGA-PBE
State: optimized geometry

a = 2.7176 Å, b = 4.2783 Å, c = 4.6784 Å
α = 90.00°, β = 90.00°, γ = 90.00°
Sites, in units of the cell vectors:
Tc (0.0000, 0.5000, 0.3271)
Tc (0.5000, 0.0000, 0.5030)
Tc (0.5000, 0.5000, 0.8418)
Fe (0.0000, 0.0000, 0.9947)

Summary:
symmetry: No. 25
crystal system: orthorhombic
total magnetization: 0.00 μB per formula unit

The energy of formation from the pure elements results, record by record, are as follows: 124 -59 116 8 -95 -77 -90 -122 40 -98 -80 385 -131 -67 -108 312 -159 28 48 47 79 38 56 meV per atom.